! TlP2Ir PBE optimized geometry; values from VASP
&SYSTEM
  ibrav = 0, nat = 4, ntyp = 3
/
ATOMIC_SPECIES
Tl 204.38 Tl.upf
P 30.97 P.upf
Ir 192.22 Ir.upf
ATOMIC_POSITIONS crystal
Tl 0.000 0.000 0.000
P 0.000 0.500 0.500
P 0.500 0.000 0.500
Ir 0.500 0.500 0.000
CELL_PARAMETERS angstrom
3.874 0.000 0.000
0.000 3.874 0.000
0.000 0.000 4.679
! * distance to the lowest polymorph of the same formula: 346 kJ/mol of formula units
! * uncorrected energy: -4.756 eV per atom
! * spin magnetization: 0.00 μB/atom